# 1
The following is a DFT calculation (PBE) of LiMg2W after structural relaxation.

Cell lengths 2.6961, 4.7035, 5.7028 Å; angles 90.00, 90.00, 90.00 degrees
Closest atoms and distances in Å follow each position.
Positions (direct):
Li 0.0000 0.0000 0.0000  1 Mg 2.58, 2 Li 2.70
Mg 0.0000 0.0000 0.5480  1 Li 2.58, 2 Mg 2.70
Mg 0.5000 0.5000 0.2492  2 Mg 2.70, 2 W 2.84-2.87
W 0.5000 0.5000 0.7518  2 W 2.70, 6 Mg 2.84-2.95

* magnetic moment: 0.000 μB per atom
* energy relative to the elements: 47 kJ/mol of atoms
* energy above the lowest structure with this stoichiometry: 0.262 eV per atom

# 2
The following is a DFT calculation (PBE) of LiMg2W after structural relaxation.

Cell lengths 2.7816, 4.9787, 5.1131 Å; angles 90.00, 90.00, 90.00 degrees
Closest atoms and distances in Å follow each position.
Positions (direct):
Li 0.0000 0.0000 0.0000  2 Li 2.78, 4 Mg 2.85, 4 W 2.91
Mg 0.0000 0.5000 0.5000  6 Mg 2.78-2.91, 4 W 2.85
Mg 0.5000 0.5000 0.0000  6 Mg 2.78-2.91, 4 Li 2.85
W 0.5000 0.0000 0.5000  2 W 2.78, 4 Mg 2.85, 4 Li 2.91

* magnetic moment: 0.000 μB per atom
* energy relative to the elements: 59 kJ/mol of atoms
* energy above the lowest structure with this stoichiometry: 0.386 eV per atom

Which formula does entry 1 have? LiMg2W